Material: SbAuO3
Method: DFT, PBE-GGA
State: optimized geometry

The structure in CIF format:
```
data_SbAuO3
_cell_length_a 4.094
_cell_length_b 4.094
_cell_length_c 4.094
_cell_angle_alpha 90.00
_cell_angle_beta 90.00
_cell_angle_gamma 90.00
_space_group_name_H-M_alt 'P 1'
_space_group_IT_number 1
_space_group_name_Hall 'P 1'
loop_
_atom_site_label
_atom_site_type_symbol
_atom_site_fract_x
_atom_site_fract_y
_atom_site_fract_z
Au1 Au 0.000 0.000 0.000
Sb1 Sb 0.500 0.500 0.500
O1 O 0.000 0.500 0.000
O2 O 0.500 0.000 0.000
O3 O 0.000 0.000 0.500
```

V = 68.61 Å³/cell
raw formation energy = 0.116 eV per atom
M_tot = 0.00 μB/atom
uncorrected energy = -0.1595 Ha/atom
Fermi-level density of states = 1.50 states/eV/cell